DFT (meta-GGA SCAN) results for a PBEsol-optimized structure of HgMoO2.

Calculated total energy in eV/atom: -30.073
SG: Fd-3m
DOS(E_F) in states/eV/f.u.: 1.6
Calculated volume in Å³/f.u.: 78.7
Raw formation energy in eV per atom: -1.19

abc: 6.0599 6.0599 6.0599
angles: 60.00 60.00 60.00
Last column: nearest neighbours and their distance in Å.
Fractional positions:
O 0.6250 0.6250 0.6250  2 Mo 1.86
O 0.6250 0.6250 0.1250  2 Mo 1.86
O 0.6250 0.1250 0.6250  2 Mo 1.86
O 0.1250 0.6250 0.6250  2 Mo 1.86
Hg 0.2500 0.2500 0.2500  12 O 3.55, 4 Mo 3.71, 4 Hg 3.71
Hg 0.0000 0.0000 0.0000  12 O 3.55, 4 Mo 3.71, 4 Hg 3.71
Mo 0.5000 0.5000 0.5000  4 O 1.86
Mo 0.7500 0.7500 0.7500  4 O 1.86

DFT (meta-GGA SCAN) results for a PBEsol-optimized structure of HgSbMo2O.

Calculated total energy in eV/atom: -34.772
SG: P4/mmm
DOS(E_F) in states/eV/f.u.: 3.2
Calculated volume in Å³/f.u.: 104.0
Raw formation energy in eV per atom: 1.51

abc: 3.9195 5.1512 5.1512
angles: 90.00 90.00 90.00
Last column: nearest neighbours and their distance in Å.
Fractional positions:
O 0.5000 0.0000 0.0000  2 Hg 1.96
Sb 0.5000 0.5000 0.5000  8 Mo 3.24
Hg 0.0000 0.0000 0.0000  2 O 1.96
Mo 0.0000 0.5000 0.0000  2 Hg 2.58
Mo 0.0000 0.0000 0.5000  2 Hg 2.58